<a>
# ScInPCl2 GGA-PBE relaxed
# D(E_F) = 3.80 states/eV/cell
# SG = P4/mmm
data_ScInPCl2
_chemical_formula_sum 'Sc1 In1 P1 Cl2'
_cell_length_a 4.954
_cell_length_b 4.954
_cell_length_c 5.569
_cell_angle_alpha 90.00
_cell_angle_beta 90.00
_cell_angle_gamma 90.00
_symmetry_space_group_name_H-M 'P 1'
_symmetry_Int_Tables_number 1
loop_
_symmetry_equiv_pos_as_xyz
'x,y,z'
loop_
_atom_site_label
_atom_site_type_symbol
_atom_site_fract_x
_atom_site_fract_y
_atom_site_fract_z
_atom_site_occupancy
Sc1 Sc 0.500 0.500 0.500 1
P1 P 0.000 0.000 0.500 1
Cl1 Cl 0.000 0.500 0.000 1
Cl2 Cl 0.500 0.000 0.000 1
In1 In 0.000 0.000 0.000 1


<b>
# ScInPCl2 GGA-PBE relaxed
# D(E_F) = 2.75 states/eV/cell
# SG = P4/mmm
data_ScInPCl2
_chemical_formula_sum 'Sc1 In1 P1 Cl2'
_cell_length_a 5.577
_cell_length_b 5.577
_cell_length_c 6.714
_cell_angle_alpha 90.00
_cell_angle_beta 90.00
_cell_angle_gamma 90.00
_symmetry_space_group_name_H-M 'P 1'
_symmetry_Int_Tables_number 1
loop_
_symmetry_equiv_pos_as_xyz
'x,y,z'
loop_
_atom_site_label
_atom_site_type_symbol
_atom_site_fract_x
_atom_site_fract_y
_atom_site_fract_z
_atom_site_occupancy
Sc1 Sc 0.000 0.000 0.000 1
P1 P 0.000 0.000 0.500 1
Cl1 Cl 0.000 0.500 0.000 1
Cl2 Cl 0.500 0.000 0.000 1
In1 In 0.500 0.500 0.500 1


According to the calculations, the structures order from most to least stable as <b>, <a>.


<a>
# InP2SeCl GGA-PBE relaxed
# D(E_F) = 3.79 states/eV/cell
# SG = P4/mmm
data_InP2SeCl
_chemical_formula_sum 'In1 P2 Se1 Cl1'
_cell_length_a 5.187
_cell_length_b 5.187
_cell_length_c 4.918
_cell_angle_alpha 90.00
_cell_angle_beta 90.00
_cell_angle_gamma 90.00
_symmetry_space_group_name_H-M 'P 1'
_symmetry_Int_Tables_number 1
loop_
_symmetry_equiv_pos_as_xyz
'x,y,z'
loop_
_atom_site_label
_atom_site_type_symbol
_atom_site_fract_x
_atom_site_fract_y
_atom_site_fract_z
_atom_site_occupancy
P1 P 0.000 0.500 0.000 1
P2 P 0.500 0.000 0.000 1
Cl1 Cl 0.000 0.000 0.500 1
Se1 Se 0.500 0.500 0.500 1
In1 In 0.000 0.000 0.000 1


<b>
# InP2SeCl GGA-PBE relaxed
# D(E_F) = 4.78 states/eV/cell
# SG = P4/mmm
data_InP2SeCl
_chemical_formula_sum 'In1 P2 Se1 Cl1'
_cell_length_a 4.642
_cell_length_b 4.642
_cell_length_c 6.971
_cell_angle_alpha 90.00
_cell_angle_beta 90.00
_cell_angle_gamma 90.00
_symmetry_space_group_name_H-M 'P 1'
_symmetry_Int_Tables_number 1
loop_
_symmetry_equiv_pos_as_xyz
'x,y,z'
loop_
_atom_site_label
_atom_site_type_symbol
_atom_site_fract_x
_atom_site_fract_y
_atom_site_fract_z
_atom_site_occupancy
P1 P 0.000 0.500 0.000 1
P2 P 0.500 0.000 0.000 1
Cl1 Cl 0.000 0.000 0.500 1
Se1 Se 0.000 0.000 0.000 1
In1 In 0.500 0.500 0.500 1


According to the calculations, the structures order from most to least stable as <b>, <a>.


<a>
# InSnPCl2 GGA-PBE relaxed
# D(E_F) = 2.84 states/eV/cell
# SG = P4/mmm
data_InSnPCl2
_chemical_formula_sum 'In1 Sn1 P1 Cl2'
_cell_length_a 5.847
_cell_length_b 5.847
_cell_length_c 5.710
_cell_angle_alpha 90.00
_cell_angle_beta 90.00
_cell_angle_gamma 90.00
_symmetry_space_group_name_H-M 'P 1'
_symmetry_Int_Tables_number 1
loop_
_symmetry_equiv_pos_as_xyz
'x,y,z'
loop_
_atom_site_label
_atom_site_type_symbol
_atom_site_fract_x
_atom_site_fract_y
_atom_site_fract_z
_atom_site_occupancy
P1 P 0.000 0.000 0.500 1
Cl1 Cl 0.000 0.500 0.000 1
Cl2 Cl 0.500 0.000 0.000 1
Sn1 Sn 0.500 0.500 0.500 1
In1 In 0.000 0.000 0.000 1


<b>
# InSnPCl2 GGA-PBE relaxed
# D(E_F) = 2.99 states/eV/cell
# SG = P4/mmm
data_InSnPCl2
_chemical_formula_sum 'In1 Sn1 P1 Cl2'
_cell_length_a 5.382
_cell_length_b 5.382
_cell_length_c 5.182
_cell_angle_alpha 90.00
_cell_angle_beta 90.00
_cell_angle_gamma 90.00
_symmetry_space_group_name_H-M 'P 1'
_symmetry_Int_Tables_number 1
loop_
_symmetry_equiv_pos_as_xyz
'x,y,z'
loop_
_atom_site_label
_atom_site_type_symbol
_atom_site_fract_x
_atom_site_fract_y
_atom_site_fract_z
_atom_site_occupancy
P1 P 0.000 0.000 0.500 1
Cl1 Cl 0.000 0.500 0.000 1
Cl2 Cl 0.500 0.000 0.000 1
Sn1 Sn 0.000 0.000 0.000 1
In1 In 0.500 0.500 0.500 1


According to the calculations, the structures order from most to least stable as <b>, <a>.


<a>
# TaInP2Cl GGA-PBE relaxed
# D(E_F) = 7.47 states/eV/cell
# SG = P4/mmm
data_TaInP2Cl
_chemical_formula_sum 'Ta1 In1 P2 Cl1'
_cell_length_a 5.052
_cell_length_b 5.052
_cell_length_c 4.896
_cell_angle_alpha 90.00
_cell_angle_beta 90.00
_cell_angle_gamma 90.00
_symmetry_space_group_name_H-M 'P 1'
_symmetry_Int_Tables_number 1
loop_
_symmetry_equiv_pos_as_xyz
'x,y,z'
loop_
_atom_site_label
_atom_site_type_symbol
_atom_site_fract_x
_atom_site_fract_y
_atom_site_fract_z
_atom_site_occupancy
Cl1 Cl 0.000 0.000 0.500 1
In1 In 0.000 0.000 0.000 1
P1 P 0.000 0.500 0.000 1
P2 P 0.500 0.000 0.000 1
Ta1 Ta 0.500 0.500 0.500 1


<b>
# TaInP2Cl GGA-PBE relaxed
# D(E_F) = 3.07 states/eV/cell
# SG = P4/mmm
data_TaInP2Cl
_chemical_formula_sum 'Ta1 In1 P2 Cl1'
_cell_length_a 4.858
_cell_length_b 4.858
_cell_length_c 5.037
_cell_angle_alpha 90.00
_cell_angle_beta 90.00
_cell_angle_gamma 90.00
_symmetry_space_group_name_H-M 'P 1'
_symmetry_Int_Tables_number 1
loop_
_symmetry_equiv_pos_as_xyz
'x,y,z'
loop_
_atom_site_label
_atom_site_type_symbol
_atom_site_fract_x
_atom_site_fract_y
_atom_site_fract_z
_atom_site_occupancy
Cl1 Cl 0.000 0.000 0.500 1
In1 In 0.500 0.500 0.500 1
P1 P 0.000 0.500 0.000 1
P2 P 0.500 0.000 0.000 1
Ta1 Ta 0.000 0.000 0.000 1


According to the calculations, the structures order from most to least stable as <b>, <a>.